Material: CaCr2Cu3Sb2O12
Method: DFT, GGA-PBEsol
State: relaxed

The structure in CIF format:
```
data_CaCr2Cu3Sb2O12
_cell_length_a 7.4482
_cell_length_b 7.4482
_cell_length_c 7.4482
_cell_angle_alpha 90.00
_cell_angle_beta 90.00
_cell_angle_gamma 90.00
_space_group_name_H-M_alt 'P 1'
_space_group_IT_number 1
_space_group_name_Hall 'P 1'
loop_
_atom_site_label
_atom_site_type_symbol
_atom_site_fract_x
_atom_site_fract_y
_atom_site_fract_z
O1 O 0.4968 0.3242 0.1967
O2 O 0.1758 0.6967 0.9968
O3 O 0.1967 0.5032 0.6758
O4 O 0.9968 0.1758 0.6967
O5 O 0.9968 0.8242 0.3033
O6 O 0.8033 0.5032 0.3242
O7 O 0.5032 0.6758 0.1967
O8 O 0.6758 0.8033 0.4968
O9 O 0.6967 0.0032 0.8242
O10 O 0.3242 0.8033 0.5032
O11 O 0.3033 0.0032 0.1758
O12 O 0.1967 0.4968 0.3242
O13 O 0.0032 0.1758 0.3033
O14 O 0.8242 0.3033 0.9968
O15 O 0.0032 0.8242 0.6967
O16 O 0.6967 0.9968 0.1758
O17 O 0.3033 0.9968 0.8242
O18 O 0.5032 0.3242 0.8033
O19 O 0.4968 0.6758 0.8033
O20 O 0.1758 0.3033 0.0032
O21 O 0.3242 0.1967 0.4968
O22 O 0.8033 0.4968 0.6758
O23 O 0.6758 0.1967 0.5032
O24 O 0.8242 0.6967 0.0032
Ca1 Ca 0.0000 0.0000 0.0000
Ca2 Ca 0.5000 0.5000 0.5000
Cu1 Cu 0.5000 0.0000 0.5000
Cu2 Cu 0.5000 0.0000 0.0000
Cu3 Cu 0.5000 0.5000 0.0000
Cu4 Cu 0.0000 0.5000 0.5000
Cu5 Cu 0.0000 0.0000 0.5000
Cu6 Cu 0.0000 0.5000 0.0000
Sb1 Sb 0.7500 0.2500 0.2500
Sb2 Sb 0.2500 0.2500 0.7500
Sb3 Sb 0.7500 0.7500 0.7500
Sb4 Sb 0.2500 0.7500 0.2500
Cr1 Cr 0.7500 0.7500 0.2500
Cr2 Cr 0.7500 0.2500 0.7500
Cr3 Cr 0.2500 0.7500 0.7500
Cr4 Cr 0.2500 0.2500 0.2500
```

Output
* uncorrected energy: -274.36 eV for the cell shown
* ΔE_f (raw): -29.5 eV/f.u.